No. 1
Below is crystalline MgInHPt2 at its relaxed geometry, with properties calculated at the PBE-GGA level.

Properties
The magnetization comes out at 0.0 μB per cell. The total energy comes out at -4.310 eV per atom. The crystal system is tetragonal.

a = 4.158 Å, b = 4.158 Å, c = 4.097 Å
α = 90.00°, β = 90.00°, γ = 90.00°
Positions (direct):
1 H 0.000 0.000 0.000
2 Mg 0.000 0.000 0.500
3 Pt 0.000 0.500 0.000
4 Pt 0.500 0.000 0.000
5 In 0.500 0.500 0.500

No. 2
Below is crystalline Pr3CuPd3 at its relaxed geometry, with properties calculated at the PBE-GGA level.

Properties
The magnetization comes out at 0.0 μB per cell. The formation energy comes out at -652 meV/atom. The crystal system is monoclinic.

a = 4.113 Å, b = 5.810 Å, c = 14.860 Å
α = 85.35°, β = 82.04°, γ = 69.27°
Positions (direct):
1 Pr 0.539 0.314 0.608
2 Pr 0.461 0.686 0.392
3 Pr 0.258 0.252 0.233
4 Pr 0.742 0.748 0.767
5 Pr 0.398 0.282 0.922
6 Pr 0.602 0.718 0.078
7 Cu 0.763 0.091 0.383
8 Cu 0.237 0.909 0.617
9 Pd 0.864 0.729 0.543
10 Pd 0.136 0.271 0.457
11 Pd 0.120 0.837 0.922
12 Pd 0.880 0.163 0.078
13 Pd 0.976 0.815 0.234
14 Pd 0.024 0.185 0.766

No. 3
Below is crystalline TbDy4Sc4 at its relaxed geometry, with properties calculated at the PBE-GGA level.

Properties
The magnetization comes out at 0.0 μB per cell. The formation energy comes out at 52 meV/atom. The crystal system is tetragonal.

a = 4.823 Å, b = 7.648 Å, c = 7.648 Å
α = 84.29°, β = 71.62°, γ = 71.62°
Positions (direct):
1 Tb 0.000 0.000 0.000
2 Dy 0.671 0.329 0.329
3 Dy 0.329 0.671 0.671
4 Dy 0.000 0.671 0.329
5 Dy 0.000 0.329 0.671
6 Sc 0.667 0.667 0.000
7 Sc 0.333 0.333 0.000
8 Sc 0.667 0.000 0.667
9 Sc 0.333 0.000 0.333

No. 4
Below is crystalline BeRe2P at its relaxed geometry, with properties calculated at the PBE-GGA level.

Properties
The magnetization comes out at 0.0 μB per cell. The formation energy comes out at -87 meV/atom. The crystal system is monoclinic.

a = 4.419 Å, b = 4.419 Å, c = 4.236 Å
α = 74.97°, β = 74.97°, γ = 39.03°
Positions (direct):
1 Re 0.993 0.993 0.043
2 Re 0.761 0.761 0.684
3 Be 0.506 0.506 0.527
4 P 0.240 0.240 0.246

No. 5
Below is crystalline Tb2Tl5Cl12 at its relaxed geometry, with properties calculated at the PBE-GGA level.

Properties
The magnetization comes out at 0.3 μB per cell. As for the energy relative to the elements, uncorrected: -1469.8 meV per atom. The crystal system is monoclinic.

a = 7.522 Å, b = 9.436 Å, c = 9.436 Å
α = 63.01°, β = 77.18°, γ = 77.18°
Site moments in Bohr magnetons follow the coordinates.
Positions (direct):
1 Tb 0.000 0.748 0.252  0.00
2 Tb 0.000 0.252 0.748  0.00
3 Tl 0.998 0.245 0.245  0.00
4 Tl 0.505 0.355 0.355  0.00
5 Tl 0.500 0.000 0.000  0.07
6 Tl 0.495 0.645 0.645  0.00
7 Tl 0.002 0.755 0.755  0.00
8 Cl 0.183 0.923 0.923  0.01
9 Cl 0.209 0.144 0.535  0.00
10 Cl 0.209 0.535 0.144  0.00
11 Cl 0.751 0.098 0.711  0.02
12 Cl 0.751 0.711 0.098  0.02
13 Cl 0.809 0.475 0.475  0.00
14 Cl 0.191 0.525 0.525  0.00
15 Cl 0.249 0.902 0.289  0.02
16 Cl 0.249 0.289 0.902  0.02
17 Cl 0.791 0.856 0.465  0.00
18 Cl 0.791 0.465 0.856  0.00
19 Cl 0.817 0.077 0.077  0.01

No. 6
Below is crystalline Ge3ClO at its relaxed geometry, with properties calculated at the PBE-GGA level.

Properties
The magnetization comes out at 1.5 μB per cell. As for the energy relative to the elements, uncorrected: 1146.2 meV per atom. The crystal system is cubic.

a = 4.979 Å, b = 4.979 Å, c = 4.979 Å
α = 90.00°, β = 90.00°, γ = 90.00°
Site moments in Bohr magnetons follow the coordinates.
Positions (direct):
1 Ge 0.000 0.500 0.000  0.08
2 Ge 0.000 0.000 0.500  0.01
3 Ge 0.500 0.000 0.000  0.08
4 O 0.500 0.500 0.500  0.93
5 Cl 0.000 0.000 0.000  -0.01